[1]
A plane-wave DFT calculation with PBE was carried out for a relaxed ScAlAg2 crystal.

DFT formation energy in meV/atom: -161
Space group: P2/m

Lattice parameters (Å, degrees): 4.541 3.000 5.582 82.18 90.00 90.00
Atoms (fractional coordinates):
Sc  0.500  0.750  0.750
Al  0.500  0.250  0.250
Ag  0.000  0.123  0.007
Ag  0.000  0.377  0.493



[2]
A plane-wave DFT calculation with PBE was carried out for a relaxed Sc2Al7Ag12 crystal.

DFT formation energy in meV/atom: -146
Space group: P-3

Lattice parameters (Å, degrees): 3.069 11.798 11.798 120.00 90.00 90.00
Atoms (fractional coordinates):
Sc  0.245  0.333  0.667
Sc  0.755  0.667  0.333
Al  0.500  0.000  0.000
Al  0.256  0.864  0.289
Al  0.256  0.424  0.136
Al  0.256  0.711  0.576
Al  0.744  0.136  0.711
Al  0.744  0.576  0.864
Al  0.744  0.289  0.424
Ag  0.251  0.620  0.084
Ag  0.251  0.464  0.380
Ag  0.251  0.916  0.536
Ag  0.749  0.380  0.916
Ag  0.749  0.536  0.620
Ag  0.749  0.084  0.464
Ag  0.243  0.077  0.245
Ag  0.243  0.169  0.923
Ag  0.243  0.755  0.831
Ag  0.757  0.923  0.755
Ag  0.757  0.831  0.077
Ag  0.757  0.245  0.169



[3]
A plane-wave DFT calculation with PBE was carried out for a relaxed Sc4AlAg crystal.

DFT formation energy in meV/atom: 47
Space group: R-3m
Distance to the lowest polymorph of the same formula in eV per atom: 0.260

Lattice parameters (Å, degrees): 4.700 4.700 8.230 73.42 73.41 60.00
Atoms (fractional coordinates):
Sc  0.625  0.625  0.126
Sc  0.375  0.375  0.874
Sc  0.124  0.124  0.629
Sc  0.876  0.876  0.371
Al  0.500  0.500  0.500
Ag  0.000  0.000  0.000



[4]
A plane-wave DFT calculation with PBE was carried out for a relaxed ScAlAg crystal.

DFT formation energy in meV/atom: -167
Space group: Imm2

Lattice parameters (Å, degrees): 5.082 5.082 5.082 145.58 129.24 62.77
Atoms (fractional coordinates):
Sc  0.672  0.672  0.000
Al  0.331  0.331  0.000
Ag  0.998  0.998  0.000



[5]
A plane-wave DFT calculation with PBE was carried out for a relaxed Sc6AlAg crystal.

DFT formation energy in meV/atom: 99
Space group: C2/m

Lattice parameters (Å, degrees): 5.029 5.029 8.398 75.38 75.38 76.59
Atoms (fractional coordinates):
Sc  0.070  0.566  0.303
Sc  0.566  0.070  0.303
Sc  0.434  0.930  0.697
Sc  0.930  0.434  0.697
Sc  0.351  0.351  0.944
Sc  0.649  0.649  0.056
Al  0.500  0.500  0.500
Ag  0.000  0.000  0.000



[6]
A plane-wave DFT calculation with PBE was carried out for a relaxed Sc8AlAg2 crystal.

DFT formation energy in meV/atom: -47
Space group: C2/m
Distance to the lowest polymorph of the same formula in eV per atom: 0.102

Lattice parameters (Å, degrees): 4.939 7.937 7.937 119.19 100.88 100.88
Atoms (fractional coordinates):
Sc  0.892  0.902  0.679
Sc  0.892  0.679  0.902
Sc  0.303  0.606  0.606
Sc  0.500  0.782  0.218
Sc  0.500  0.218  0.782
Sc  0.697  0.394  0.394
Sc  0.108  0.321  0.098
Sc  0.108  0.098  0.321
Al  0.500  0.000  0.000
Ag  0.000  0.304  0.696
Ag  0.000  0.696  0.304



[7]
A plane-wave DFT calculation with PBE was carried out for a relaxed ScAlAg2 crystal.

DFT formation energy in meV/atom: -182
Space group: C2/m

Lattice parameters (Å, degrees): 4.999 4.999 5.155 79.59 79.59 36.27
Atoms (fractional coordinates):
Sc  0.250  0.250  0.250
Al  0.750  0.750  0.750
Ag  0.006  0.006  0.993
Ag  0.494  0.494  0.507



[8]
A plane-wave DFT calculation with PBE was carried out for a relaxed ScAl2Ag2 crystal.

DFT formation energy in meV/atom: -161
Space group: I4/mmm
Distance to the lowest polymorph of the same formula in eV per atom: 0.014

Lattice parameters (Å, degrees): 3.921 3.921 6.807 73.26 73.26 90.00
Atoms (fractional coordinates):
Sc  0.000  0.000  0.000
Al  0.750  0.250  0.500
Al  0.250  0.750  0.500
Ag  0.392  0.392  0.215
Ag  0.608  0.608  0.785



[9]
A plane-wave DFT calculation with PBE was carried out for a relaxed Sc4AlAg crystal.

DFT formation energy in meV/atom: 260
Space group: F-43m
Distance to the lowest polymorph of the same formula in eV per atom: 0.474

Lattice parameters (Å, degrees): 5.731 5.731 5.731 60.00 60.00 60.00
Atoms (fractional coordinates):
Sc  0.878  0.374  0.374
Sc  0.374  0.374  0.878
Sc  0.374  0.878  0.374
Sc  0.374  0.374  0.374
Al  0.000  0.000  0.000
Ag  0.750  0.750  0.750



[10]
A plane-wave DFT calculation with PBE was carried out for a relaxed Sc2Al3Ag2 crystal.

DFT formation energy in meV/atom: -279
Space group: Cmcm

Lattice parameters (Å, degrees): 4.484 5.910 10.175 90.00 102.73 90.00
Atoms (fractional coordinates):
Sc  0.141  0.250  0.283
Sc  0.859  0.750  0.717
Sc  0.982  0.250  0.964
Sc  0.018  0.750  0.036
Al  0.169  0.750  0.337
Al  0.831  0.250  0.663
Al  0.571  0.484  0.142
Al  0.429  0.516  0.858
Al  0.429  0.984  0.858
Al  0.571  0.016  0.142
Ag  0.708  0.000  0.417
Ag  0.292  0.000  0.583
Ag  0.292  0.500  0.583
Ag  0.708  0.500  0.417



[11]
A plane-wave DFT calculation with PBE was carried out for a relaxed Sc4AlAg crystal.

DFT formation energy in meV/atom: -214
Space group: C2/m
Distance to the lowest polymorph of the same formula in eV per atom: 0.000

Lattice parameters (Å, degrees): 3.290 6.427 7.936 119.48 78.04 75.17
Atoms (fractional coordinates):
Sc  0.830  0.515  0.826
Sc  0.326  0.018  0.330
Sc  0.170  0.485  0.174
Sc  0.674  0.982  0.670
Al  0.500  0.500  0.500
Ag  0.000  0.000  0.000



[12]
A plane-wave DFT calculation with PBE was carried out for a relaxed Sc8AlAg2 crystal.

DFT formation energy in meV/atom: -149
Space group: C2/m
Distance to the lowest polymorph of the same formula in eV per atom: 0.000

Lattice parameters (Å, degrees): 4.892 7.787 7.808 119.37 108.26 90.00
Atoms (fractional coordinates):
Sc  0.593  0.452  0.186
Sc  0.321  0.053  0.641
Sc  0.135  0.181  0.269
Sc  0.065  0.721  0.130
Sc  0.865  0.819  0.731
Sc  0.679  0.947  0.359
Sc  0.407  0.548  0.814
Sc  0.935  0.279  0.870
Al  0.500  0.000  0.000
Ag  0.228  0.621  0.455
Ag  0.772  0.379  0.545



[13]
A plane-wave DFT calculation with PBE was carried out for a relaxed ScAl3Ag crystal.

DFT formation energy in meV/atom: 404
Space group: Pm-3m
Distance to the lowest polymorph of the same formula in eV per atom: 0.000

Lattice parameters (Å, degrees): 4.819 4.819 4.819 90.00 90.00 90.00
Atoms (fractional coordinates):
Sc  0.500  0.500  0.500
Al  0.000  0.500  0.000
Al  0.000  0.000  0.500
Al  0.500  0.000  0.000
Ag  0.000  0.000  0.000



[14]
A plane-wave DFT calculation with PBE was carried out for a relaxed Sc2Al8Ag crystal.

DFT formation energy in meV/atom: -282
Space group: P4/mmm

Lattice parameters (Å, degrees): 4.168 4.168 11.287 90.00 90.00 90.00
Atoms (fractional coordinates):
Sc  0.000  0.000  0.322
Sc  0.000  0.000  0.678
Al  0.000  0.500  0.500
Al  0.500  0.000  0.500
Al  0.500  0.500  0.315
Al  0.500  0.500  0.685
Al  0.000  0.500  0.142
Al  0.500  0.000  0.142
Al  0.000  0.500  0.858
Al  0.500  0.000  0.858
Ag  0.000  0.000  0.000



[15]
A plane-wave DFT calculation with PBE was carried out for a relaxed ScAl2Ag2 crystal.

DFT formation energy in meV/atom: -116
Space group: P4/mbm
Distance to the lowest polymorph of the same formula in eV per atom: 0.058

Lattice parameters (Å, degrees): 7.848 7.848 2.929 90.00 90.00 90.00
Atoms (fractional coordinates):
Sc  0.000  0.000  0.000
Sc  0.500  0.500  0.000
Al  0.370  0.870  0.000
Al  0.870  0.630  0.000
Al  0.630  0.130  0.000
Al  0.130  0.370  0.000
Ag  0.168  0.668  0.500
Ag  0.668  0.832  0.500
Ag  0.832  0.332  0.500
Ag  0.332  0.168  0.500



[16]
A plane-wave DFT calculation with PBE was carried out for a relaxed ScAl2Ag2 crystal.

DFT formation energy in meV/atom: -174
Space group: I4/mmm
Distance to the lowest polymorph of the same formula in eV per atom: 0.000

Lattice parameters (Å, degrees): 4.059 4.059 6.480 71.75 71.75 90.00
Atoms (fractional coordinates):
Sc  0.000  0.000  0.000
Al  0.394  0.394  0.213
Al  0.606  0.606  0.787
Ag  0.750  0.250  0.500
Ag  0.250  0.750  0.500



[17]
A plane-wave DFT calculation with PBE was carried out for a relaxed ScAlAg crystal.

DFT formation energy in meV/atom: -284
Space group: I4mm

Lattice parameters (Å, degrees): 5.989 5.988 3.177 74.62 74.62 30.76
Atoms (fractional coordinates):
Sc  0.669  0.669  0.331
Al  0.343  0.343  0.657
Ag  0.987  0.987  0.013



[18]
A plane-wave DFT calculation with PBE was carried out for a relaxed Sc4AlAg2 crystal.

DFT formation energy in meV/atom: -168
Space group: R-3m

Lattice parameters (Å, degrees): 4.782 4.782 8.130 72.90 72.90 60.00
Atoms (fractional coordinates):
Sc  0.871  0.871  0.388
Sc  0.129  0.129  0.612
Sc  0.615  0.615  0.154
Sc  0.385  0.385  0.846
Al  0.000  0.000  0.000
Ag  0.742  0.742  0.773
Ag  0.258  0.258  0.227



[19]
A plane-wave DFT calculation with PBE was carried out for a relaxed ScAl4Ag8 crystal.

DFT formation energy in meV/atom: -139
Space group: I4/mmm

Lattice parameters (Å, degrees): 5.376 7.070 7.070 81.69 67.65 67.65
Atoms (fractional coordinates):
Sc  0.000  0.000  0.000
Al  0.000  0.000  0.500
Al  0.500  0.000  0.500
Al  0.000  0.500  0.000
Al  0.500  0.500  0.000
Ag  0.000  0.339  0.661
Ag  0.000  0.661  0.339
Ag  0.339  0.661  0.661
Ag  0.661  0.339  0.339
Ag  0.500  0.784  0.216
Ag  0.500  0.216  0.784
Ag  0.284  0.216  0.216
Ag  0.716  0.784  0.784



[20]
A plane-wave DFT calculation with PBE was carried out for a relaxed Sc3AlAg3Se8 crystal.

Space group: C2/m
ΔE_f (raw) in meV per atom: -951

Lattice parameters (Å, degrees): 7.779 7.780 7.986 119.30 90.00 120.00
Atoms (fractional coordinates):
Sc  0.500  0.000  0.500
Sc  0.500  0.500  0.500
Sc  0.000  0.500  0.500
Al  0.000  0.000  0.500
Ag  0.000  0.000  0.000
Ag  0.000  0.500  0.000
Ag  0.500  0.500  0.000
Se  0.258  0.515  0.274
Se  0.742  0.485  0.726
Se  0.766  0.532  0.274
Se  0.234  0.468  0.726
Se  0.766  0.007  0.274
Se  0.234  0.993  0.726
Se  0.241  0.007  0.274
Se  0.759  0.993  0.726